Here is a relaxed structure of Sr2TePIr from Alexandria. Energies are from PBE.

Unit cell a=5.967 b=5.967 c=4.365 alpha=90.00 beta=90.00 gamma=90.00
Fractional positions:
Sr 0.000 0.500 0.000
Sr 0.500 0.000 0.000
Te 0.000 0.000 0.500
P 0.500 0.500 0.500
Ir 0.500 0.500 0.000

Calculated values
Energy above the most stable polymorph in this dataset (meV/atom): 0
Mass density (g/cm3): 5.62